[1]
An optimized crystal structure of MgSc2CoB. Source: Alexandria via LeMat-Bulk, functional PBE.

Summary:
calculated formation energy	-216	meV/atom
total energy	-5.8237	eV per atom
V	85.0	Å³/cell

a b c (Å): 4.7396 4.7396 3.7839
angles (deg): 90.00 90.00 90.00
Sites, in units of the cell vectors:
Mg 0.0000 0.0000 0.0000
Sc 0.0000 0.5000 0.5000
Sc 0.5000 0.0000 0.5000
Co 0.5000 0.5000 0.0000
B 0.5000 0.5000 0.5000

[2]
An optimized crystal structure of NaPmCO4. Source: Alexandria via LeMat-Bulk, functional PBE.

Summary:
total energy	-6.7173	eV per atom
V	160.9	Å³/cell
raw formation energy	-1.70	eV per atom

a b c (Å): 6.0899 6.0899 6.0899
angles (deg): 125.86 109.43 94.68
Sites, in units of the cell vectors:
Na 0.5000 0.0000 0.0000
Na 0.5000 0.5000 0.5000
Pm 0.0000 0.0000 0.0000
Pm 0.5000 0.0000 0.5000
C 0.1239 0.3739 0.7500
C 0.8761 0.6261 0.2500
O 0.1276 0.7122 0.4154
O 0.2032 0.2878 0.9154
O 0.2398 0.2731 0.5333
O 0.2398 0.7065 0.9667
O 0.7602 0.2935 0.0333
O 0.7602 0.7269 0.4667
O 0.7968 0.7122 0.0846
O 0.8724 0.2878 0.5846

[3]
An optimized crystal structure of ScTa2BeAu. Source: Alexandria via LeMat-Bulk, functional PBE.

Summary:
calculated formation energy	1939	meV/atom
total energy	-5.4691	eV per atom
V	110.2	Å³/cell

a b c (Å): 4.7230 4.7230 4.9396
angles (deg): 90.00 90.00 90.00
Sites, in units of the cell vectors:
Sc 0.0000 0.0000 0.0000
Ta 0.0000 0.5000 0.0000
Ta 0.5000 0.0000 0.0000
Be 0.5000 0.5000 0.5000
Au 0.0000 0.0000 0.5000

[4]
An optimized crystal structure of Ta2MoAs. Source: Alexandria via LeMat-Bulk, functional PBE.

Summary:
calculated formation energy	-51	meV/atom
total energy	-9.8477	eV per atom
V	68.5	Å³/cell

a b c (Å): 2.9354 2.9354 8.4554
angles (deg): 90.00 90.00 109.91
Sites, in units of the cell vectors:
Ta 0.0000 0.0000 0.0000
Ta 0.5000 0.5000 0.2708
Mo 0.0000 0.0000 0.5263
As 0.5000 0.5000 0.7604

total energy of number 3 (ScTa2BeAu)?
-5.4691 eV per atom